Record 1
Crystalline Te3Br at its relaxed geometry, computed with PBE.

```
data_Te3Br
_cell_length_a 8.656
_cell_length_b 8.656
_cell_length_c 4.507
_cell_angle_alpha 90.00
_cell_angle_beta 90.00
_cell_angle_gamma 126.53
_symmetry_space_group_name_H-M 'P 1'
_symmetry_Int_Tables_number 1
loop_
_symmetry_equiv_pos_as_xyz
'x,y,z'
loop_
_atom_site_label
_atom_site_fract_x
_atom_site_fract_y
_atom_site_fract_z
_atom_site_occupancy
Te1 0.187 0.813 0.250 1
Te2 0.813 0.187 0.750 1
Te3 0.083 0.298 0.250 1
Te4 0.917 0.702 0.750 1
Te5 0.298 0.083 0.750 1
Te6 0.702 0.917 0.250 1
Br1 0.611 0.389 0.250 1
Br2 0.389 0.611 0.750 1
```

Values from the calculation:
Magnetization, μB per atom: 0.00
Formation energy without anion corrections, eV/f.u.: 0.19
Offset from the most stable computed form, meV/atom: 148
D(E_F), states/eV/cell: 1.2

Record 2
Crystalline BaBe2InO at its relaxed geometry, computed with PBE.

```
data_BaBe2InO
_cell_length_a 4.357
_cell_length_b 7.411
_cell_length_c 4.357
_cell_angle_alpha 90.00
_cell_angle_beta 90.00
_cell_angle_gamma 90.00
_symmetry_space_group_name_H-M 'P 1'
_symmetry_Int_Tables_number 1
loop_
_symmetry_equiv_pos_as_xyz
'x,y,z'
loop_
_atom_site_label
_atom_site_fract_x
_atom_site_fract_y
_atom_site_fract_z
_atom_site_occupancy
Be1 0.000 0.000 0.500 1
Be2 0.500 0.000 0.000 1
Ba1 0.000 0.500 0.000 1
O1 0.500 0.500 0.500 1
In1 0.000 0.000 0.000 1
```

Values from the calculation:
Magnetization, μB per atom: 0.10
Formation energy without anion corrections, eV/f.u.: 1.39
D(E_F), states/eV/cell: 2.7

Record 3
Crystalline RbTl2ZnBi at its relaxed geometry, computed with PBE.

```
data_RbTl2ZnBi
_cell_length_a 5.634
_cell_length_b 5.634
_cell_length_c 5.680
_cell_angle_alpha 90.00
_cell_angle_beta 90.00
_cell_angle_gamma 90.00
_symmetry_space_group_name_H-M 'P 1'
_symmetry_Int_Tables_number 1
loop_
_symmetry_equiv_pos_as_xyz
'x,y,z'
loop_
_atom_site_label
_atom_site_fract_x
_atom_site_fract_y
_atom_site_fract_z
_atom_site_occupancy
Zn1 0.000 0.000 0.000 1
Tl1 0.000 0.500 0.000 1
Tl2 0.500 0.000 0.000 1
Bi1 0.000 0.000 0.500 1
Rb1 0.500 0.500 0.500 1
```

Values from the calculation:
ΔE_f, eV/atom: 0.022
Magnetization, μB per atom: 0.00
D(E_F), states/eV/cell: 3.1

Record 4
Crystalline Zn3Ag5 at its relaxed geometry, computed with PBE.

```
data_Zn3Ag5
_cell_length_a 5.590
_cell_length_b 5.590
_cell_length_c 4.281
_cell_angle_alpha 90.00
_cell_angle_beta 90.00
_cell_angle_gamma 85.29
_symmetry_space_group_name_H-M 'P 1'
_symmetry_Int_Tables_number 1
loop_
_symmetry_equiv_pos_as_xyz
'x,y,z'
loop_
_atom_site_label
_atom_site_fract_x
_atom_site_fract_y
_atom_site_fract_z
_atom_site_occupancy
Ag1 0.000 0.000 0.000 1
Ag2 0.000 0.500 0.000 1
Ag3 0.500 0.000 0.000 1
Ag4 0.725 0.275 0.500 1
Ag5 0.275 0.725 0.500 1
Zn1 0.500 0.500 0.000 1
Zn2 0.231 0.231 0.500 1
Zn3 0.769 0.769 0.500 1
```

Values from the calculation:
ΔE_f, eV/atom: -0.024
Magnetization, μB per atom: 0.00
Offset from the most stable computed form, meV/atom: 5
D(E_F), states/eV/cell: 2.1

Record 5
Crystalline SnBi at its relaxed geometry, computed with PBE.

```
data_SnBi
_cell_length_a 6.339
_cell_length_b 5.842
_cell_length_c 3.400
_cell_angle_alpha 90.00
_cell_angle_beta 90.00
_cell_angle_gamma 90.00
_symmetry_space_group_name_H-M 'P 1'
_symmetry_Int_Tables_number 1
loop_
_symmetry_equiv_pos_as_xyz
'x,y,z'
loop_
_atom_site_label
_atom_site_fract_x
_atom_site_fract_y
_atom_site_fract_z
_atom_site_occupancy
Bi1 0.250 0.000 0.450 1
Bi2 0.750 0.000 0.550 1
Sn1 0.250 0.500 0.003 1
Sn2 0.750 0.500 0.997 1
```

Values from the calculation:
ΔE_f, eV/atom: 0.059
Magnetization, μB per atom: 0.00
D(E_F), states/eV/cell: 2.2

Record 6
Crystalline Mn2BePb at its relaxed geometry, computed with PBE.

```
data_Mn2BePb
_cell_length_a 3.850
_cell_length_b 3.853
_cell_length_c 3.936
_cell_angle_alpha 90.00
_cell_angle_beta 90.00
_cell_angle_gamma 90.00
_symmetry_space_group_name_H-M 'P 1'
_symmetry_Int_Tables_number 1
loop_
_symmetry_equiv_pos_as_xyz
'x,y,z'
loop_
_atom_site_label
_atom_site_fract_x
_atom_site_fract_y
_atom_site_fract_z
_atom_site_occupancy
Pb1 0.500 0.000 0.500 1
Be1 0.000 0.500 0.500 1
Mn1 0.000 0.000 0.000 1
Mn2 0.500 0.500 0.000 1
```

Values from the calculation:
ΔE_f, eV/atom: 0.435
Magnetization, μB per atom: 1.34
Offset from the most stable computed form, meV/atom: 39
D(E_F), states/eV/cell: 1.6

Record 7
Crystalline Cs3Tl4Pt4 at its relaxed geometry, computed with PBE.

```
data_Cs3Tl4Pt4
_cell_length_a 7.540
_cell_length_b 7.540
_cell_length_c 7.540
_cell_angle_alpha 109.47
_cell_angle_beta 109.47
_cell_angle_gamma 109.47
_symmetry_space_group_name_H-M 'P 1'
_symmetry_Int_Tables_number 1
loop_
_symmetry_equiv_pos_as_xyz
'x,y,z'
loop_
_atom_site_label
_atom_site_fract_x
_atom_site_fract_y
_atom_site_fract_z
_atom_site_occupancy
Cs1 0.500 0.500 0.000 1
Cs2 0.500 0.000 0.500 1
Cs3 0.000 0.500 0.500 1
Tl1 0.000 0.599 0.000 1
Tl2 0.599 0.000 0.000 1
Tl3 0.000 0.000 0.599 1
Tl4 0.401 0.401 0.401 1
Pt1 0.000 0.233 0.000 1
Pt2 0.000 0.000 0.233 1
Pt3 0.233 0.000 0.000 1
Pt4 0.767 0.767 0.767 1
```

Values from the calculation:
ΔE_f, eV/atom: -0.126
Magnetization, μB per atom: 0.00
D(E_F), states/eV/cell: 4.4

Record 8
Crystalline TiPdCl2 at its relaxed geometry, computed with PBE.

```
data_TiPdCl2
_cell_length_a 8.360
_cell_length_b 8.360
_cell_length_c 8.360
_cell_angle_alpha 21.77
_cell_angle_beta 21.77
_cell_angle_gamma 21.77
_symmetry_space_group_name_H-M 'P 1'
_symmetry_Int_Tables_number 1
loop_
_symmetry_equiv_pos_as_xyz
'x,y,z'
loop_
_atom_site_label
_atom_site_fract_x
_atom_site_fract_y
_atom_site_fract_z
_atom_site_occupancy
Cl1 0.901 0.901 0.901 1
Cl2 0.099 0.099 0.099 1
Pd1 0.000 0.000 0.000 1
Ti1 0.500 0.500 0.500 1
```

Values from the calculation:
Magnetization, μB per atom: 0.00
Formation energy without anion corrections, eV/f.u.: -2.83
Offset from the most stable computed form, meV/atom: 0
D(E_F), states/eV/cell: 3.0

Record 9
Crystalline ScFe2Ni2 at its relaxed geometry, computed with PBE.

```
data_ScFe2Ni2
_cell_length_a 3.694
_cell_length_b 3.694
_cell_length_c 5.758
_cell_angle_alpha 71.29
_cell_angle_beta 71.29
_cell_angle_gamma 90.00
_symmetry_space_group_name_H-M 'P 1'
_symmetry_Int_Tables_number 1
loop_
_symmetry_equiv_pos_as_xyz
'x,y,z'
loop_
_atom_site_label
_atom_site_fract_x
_atom_site_fract_y
_atom_site_fract_z
_atom_site_occupancy
Sc1 0.000 0.000 0.000 1
Ni1 0.750 0.250 0.500 1
Ni2 0.250 0.750 0.500 1
Fe1 0.391 0.391 0.217 1
Fe2 0.609 0.609 0.783 1
```

Values from the calculation:
ΔE_f, eV/atom: -0.011
Magnetization, μB per atom: 1.06
Offset from the most stable computed form, meV/atom: 25
D(E_F), states/eV/cell: 3.1

Record 10
Crystalline NaGaRhF6 at its relaxed geometry, computed with PBE.

```
data_NaGaRhF6
_cell_length_a 5.424
_cell_length_b 5.424
_cell_length_c 9.730
_cell_angle_alpha 90.00
_cell_angle_beta 90.00
_cell_angle_gamma 120.00
_symmetry_space_group_name_H-M 'P 1'
_symmetry_Int_Tables_number 1
loop_
_symmetry_equiv_pos_as_xyz
'x,y,z'
loop_
_atom_site_label
_atom_site_fract_x
_atom_site_fract_y
_atom_site_fract_z
_atom_site_occupancy
Na1 0.000 0.000 0.000 1
Na2 0.000 0.000 0.500 1
Ga1 0.667 0.333 0.250 1
Ga2 0.333 0.667 0.750 1
Rh1 0.333 0.667 0.250 1
Rh2 0.667 0.333 0.750 1
F1 0.660 0.627 0.140 1
F2 0.967 0.340 0.140 1
F3 0.340 0.967 0.640 1
F4 0.033 0.660 0.860 1
F5 0.373 0.340 0.360 1
F6 0.967 0.627 0.360 1
F7 0.627 0.967 0.860 1
F8 0.660 0.033 0.360 1
F9 0.033 0.373 0.640 1
F10 0.373 0.033 0.140 1
F11 0.627 0.660 0.640 1
F12 0.340 0.373 0.860 1
```

Values from the calculation:
Magnetization, μB per atom: 0.11
Formation energy without anion corrections, eV/f.u.: -19.10
D(E_F), states/eV/cell: 13.0

Record 11
Crystalline Mg2AgOs at its relaxed geometry, computed with PBE.

```
data_Mg2AgOs
_cell_length_a 9.293
_cell_length_b 9.293
_cell_length_c 9.293
_cell_angle_alpha 18.02
_cell_angle_beta 18.02
_cell_angle_gamma 18.02
_symmetry_space_group_name_H-M 'P 1'
_symmetry_Int_Tables_number 1
loop_
_symmetry_equiv_pos_as_xyz
'x,y,z'
loop_
_atom_site_label
_atom_site_fract_x
_atom_site_fract_y
_atom_site_fract_z
_atom_site_occupancy
Ag1 0.750 0.750 0.750 1
Mg1 0.996 0.996 0.996 1
Mg2 0.504 0.504 0.504 1
Os1 0.250 0.250 0.250 1
```

Values from the calculation:
ΔE_f, eV/atom: 0.103
Magnetization, μB per atom: 0.00
D(E_F), states/eV/cell: 1.8

Record 12
Crystalline YGa2Bi2 at its relaxed geometry, computed with PBE.

```
data_YGa2Bi2
_cell_length_a 8.188
_cell_length_b 8.188
_cell_length_c 4.091
_cell_angle_alpha 90.00
_cell_angle_beta 90.00
_cell_angle_gamma 90.00
_symmetry_space_group_name_H-M 'P 1'
_symmetry_Int_Tables_number 1
loop_
_symmetry_equiv_pos_as_xyz
'x,y,z'
loop_
_atom_site_label
_atom_site_fract_x
_atom_site_fract_y
_atom_site_fract_z
_atom_site_occupancy
Y1 0.000 0.000 0.000 1
Y2 0.500 0.500 0.000 1
Bi1 0.360 0.860 0.000 1
Bi2 0.860 0.640 0.000 1
Bi3 0.640 0.140 0.000 1
Bi4 0.140 0.360 0.000 1
Ga1 0.162 0.662 0.500 1
Ga2 0.662 0.838 0.500 1
Ga3 0.838 0.338 0.500 1
Ga4 0.338 0.162 0.500 1
```

Values from the calculation:
ΔE_f, eV/atom: -0.079
Magnetization, μB per atom: 0.00
Offset from the most stable computed form, meV/atom: 130
D(E_F), states/eV/cell: 6.6

Record 13
Crystalline ZrCr2Cl at its relaxed geometry, computed with PBE.

```
data_ZrCr2Cl
_cell_length_a 3.045
_cell_length_b 3.045
_cell_length_c 7.933
_cell_angle_alpha 90.00
_cell_angle_beta 90.00
_cell_angle_gamma 90.00
_symmetry_space_group_name_H-M 'P 1'
_symmetry_Int_Tables_number 1
loop_
_symmetry_equiv_pos_as_xyz
'x,y,z'
loop_
_atom_site_label
_atom_site_fract_x
_atom_site_fract_y
_atom_site_fract_z
_atom_site_occupancy
Cr1 0.000 0.000 0.089 1
Cr2 0.500 0.500 0.233 1
Zr1 0.000 0.000 0.476 1
Cl1 0.500 0.500 0.703 1
```

Values from the calculation:
Magnetization, μB per atom: 0.19
Formation energy without anion corrections, eV/f.u.: -0.29
Offset from the most stable computed form, meV/atom: 41
D(E_F), states/eV/cell: 2.0

Record 14
Crystalline Mg3InAu at its relaxed geometry, computed with PBE.

```
data_Mg3InAu
_cell_length_a 5.131
_cell_length_b 5.131
_cell_length_c 5.131
_cell_angle_alpha 90.00
_cell_angle_beta 90.00
_cell_angle_gamma 90.00
_symmetry_space_group_name_H-M 'P 1'
_symmetry_Int_Tables_number 1
loop_
_symmetry_equiv_pos_as_xyz
'x,y,z'
loop_
_atom_site_label
_atom_site_fract_x
_atom_site_fract_y
_atom_site_fract_z
_atom_site_occupancy
Mg1 0.000 0.500 0.000 1
Mg2 0.000 0.000 0.500 1
Mg3 0.500 0.000 0.000 1
Au1 0.000 0.000 0.000 1
In1 0.500 0.500 0.500 1
```

Values from the calculation:
ΔE_f, eV/atom: -0.120
Magnetization, μB per atom: 0.00
Offset from the most stable computed form, meV/atom: 167
D(E_F), states/eV/cell: 2.1

Record 15
Crystalline La2ZrCl at its relaxed geometry, computed with PBE.

```
data_La2ZrCl
_cell_length_a 3.498
_cell_length_b 3.498
_cell_length_c 9.334
_cell_angle_alpha 90.00
_cell_angle_beta 90.00
_cell_angle_gamma 90.00
_symmetry_space_group_name_H-M 'P 1'
_symmetry_Int_Tables_number 1
loop_
_symmetry_equiv_pos_as_xyz
'x,y,z'
loop_
_atom_site_label
_atom_site_fract_x
_atom_site_fract_y
_atom_site_fract_z
_atom_site_occupancy
Cl1 0.500 0.500 0.750 1
La1 0.000 0.000 0.995 1
La2 0.000 0.000 0.505 1
Zr1 0.500 0.500 0.250 1
```

Values from the calculation:
Magnetization, μB per atom: 0.00
Formation energy without anion corrections, eV/f.u.: -2.24
Offset from the most stable computed form, meV/atom: 19
D(E_F), states/eV/cell: 4.5

Record 16
Crystalline TlPRh2 at its relaxed geometry, computed with PBE.

```
data_TlPRh2
_cell_length_a 5.396
_cell_length_b 5.396
_cell_length_c 5.396
_cell_angle_alpha 139.46
_cell_angle_beta 139.46
_cell_angle_gamma 58.67
_symmetry_space_group_name_H-M 'P 1'
_symmetry_Int_Tables_number 1
loop_
_symmetry_equiv_pos_as_xyz
'x,y,z'
loop_
_atom_site_label
_atom_site_fract_x
_atom_site_fract_y
_atom_site_fract_z
_atom_site_occupancy
Tl1 0.500 0.500 0.000 1
P1 0.750 0.250 0.500 1
Rh1 0.000 0.000 0.000 1
Rh2 0.250 0.750 0.500 1
```

Values from the calculation:
ΔE_f, eV/atom: 0.229
Magnetization, μB per atom: 0.00
D(E_F), states/eV/cell: 3.3

Record 17
Crystalline CsYBeS3 at its relaxed geometry, computed with PBE.

```
data_CsYBeS3
_cell_length_a 3.908
_cell_length_b 9.578
_cell_length_c 9.524
_cell_angle_alpha 112.54
_cell_angle_beta 90.00
_cell_angle_gamma 90.00
_symmetry_space_group_name_H-M 'P 1'
_symmetry_Int_Tables_number 1
loop_
_symmetry_equiv_pos_as_xyz
'x,y,z'
loop_
_atom_site_label
_atom_site_fract_x
_atom_site_fract_y
_atom_site_fract_z
_atom_site_occupancy
Cs1 0.250 0.211 0.242 1
Cs2 0.750 0.789 0.758 1
Y1 0.250 0.668 0.147 1
Y2 0.750 0.332 0.853 1
Be1 0.250 0.075 0.606 1
Be2 0.750 0.925 0.394 1
S1 0.750 0.874 0.163 1
S2 0.250 0.126 0.837 1
S3 0.250 0.843 0.463 1
S4 0.750 0.157 0.537 1
S5 0.750 0.475 0.160 1
S6 0.250 0.525 0.840 1
```

Values from the calculation:
Magnetization, μB per atom: 0.00
Formation energy without anion corrections, eV/f.u.: -9.38
D(E_F), states/eV/cell: 0.0

Record 18
Crystalline KPd3C4O12 at its relaxed geometry, computed with PBE.

```
data_KPd3C4O12
_cell_length_a 6.372
_cell_length_b 6.372
_cell_length_c 6.372
_cell_angle_alpha 101.38
_cell_angle_beta 101.38
_cell_angle_gamma 101.38
_symmetry_space_group_name_H-M 'P 1'
_symmetry_Int_Tables_number 1
loop_
_symmetry_equiv_pos_as_xyz
'x,y,z'
loop_
_atom_site_label
_atom_site_fract_x
_atom_site_fract_y
_atom_site_fract_z
_atom_site_occupancy
K1 0.000 0.000 0.000 1
Pd1 0.535 0.465 0.000 1
Pd2 0.465 0.000 0.535 1
Pd3 0.000 0.535 0.465 1
C1 0.966 0.034 0.500 1
C2 0.034 0.500 0.966 1
C3 0.500 0.966 0.034 1
C4 0.500 0.500 0.500 1
O1 0.500 0.368 0.632 1
O2 0.897 0.500 0.103 1
O3 0.103 0.897 0.500 1
O4 0.500 0.103 0.897 1
O5 0.409 0.012 0.192 1
O6 0.192 0.409 0.012 1
O7 0.012 0.192 0.409 1
O8 0.591 0.808 0.988 1
O9 0.988 0.591 0.808 1
O10 0.808 0.988 0.591 1
O11 0.632 0.500 0.368 1
O12 0.368 0.632 0.500 1
```

Values from the calculation:
Magnetization, μB per atom: 0.00
Formation energy without anion corrections, eV/f.u.: -19.07
D(E_F), states/eV/cell: 8.4

Record 19
Crystalline Pm2DyYBi5 at its relaxed geometry, computed with PBE.

```
data_Pm2DyYBi5
_cell_length_a 5.431
_cell_length_b 5.431
_cell_length_c 11.909
_cell_angle_alpha 90.00
_cell_angle_beta 90.00
_cell_angle_gamma 90.00
_symmetry_space_group_name_H-M 'P 1'
_symmetry_Int_Tables_number 1
loop_
_symmetry_equiv_pos_as_xyz
'x,y,z'
loop_
_atom_site_label
_atom_site_fract_x
_atom_site_fract_y
_atom_site_fract_z
_atom_site_occupancy
Pm1 0.500 0.500 0.273 1
Pm2 0.500 0.500 0.727 1
Dy1 0.000 0.000 0.500 1
Y1 0.000 0.000 0.000 1
Bi1 0.000 0.500 0.500 1
Bi2 0.500 0.000 0.500 1
Bi3 0.000 0.000 0.754 1
Bi4 0.000 0.000 0.246 1
Bi5 0.500 0.500 0.000 1
```

Values from the calculation:
ΔE_f, eV/atom: -0.100
Magnetization, μB per atom: 0.00
D(E_F), states/eV/cell: 6.1

Record 20
Crystalline TaMnNiIr at its relaxed geometry, computed with PBE.

```
data_TaMnNiIr
_cell_length_a 3.790
_cell_length_b 3.804
_cell_length_c 3.825
_cell_angle_alpha 90.00
_cell_angle_beta 90.00
_cell_angle_gamma 90.00
_symmetry_space_group_name_H-M 'P 1'
_symmetry_Int_Tables_number 1
loop_
_symmetry_equiv_pos_as_xyz
'x,y,z'
loop_
_atom_site_label
_atom_site_fract_x
_atom_site_fract_y
_atom_site_fract_z
_atom_site_occupancy
Ta1 0.000 0.500 0.500 1
Mn1 0.500 0.000 0.500 1
Ni1 0.000 0.000 0.000 1
Ir1 0.500 0.500 0.000 1
```

Values from the calculation:
ΔE_f, eV/atom: -0.378
Magnetization, μB per atom: 0.56
Offset from the most stable computed form, meV/atom: 0
D(E_F), states/eV/cell: 3.1